No. 1
Compound: U3Si6Pd20
Source: OQMD via LeMat-Bulk
Functional: PBE-GGA
Structure: optimized geometry

abc: 8.6740 8.6740 8.6740
angles: 60.00 60.00 60.00
Closest atoms and distances in Å follow each position.
Atoms (fractional coordinates):
U 0.0000 0.0000 0.0000  12 Pd 3.00, 6 Si 3.28
U 0.2500 0.2500 0.2500  4 Pd 2.81
U 0.7500 0.7500 0.7500  4 Pd 2.81
Si 0.2672 0.2672 0.7328  8 Pd 2.42-2.48
Si 0.2672 0.7328 0.2672  8 Pd 2.42-2.48
Si 0.2672 0.7328 0.7328  8 Pd 2.42-2.48
Si 0.7328 0.2672 0.2672  8 Pd 2.42-2.48
Si 0.7328 0.2672 0.7328  8 Pd 2.42-2.48
Si 0.7328 0.7328 0.2672  8 Pd 2.42-2.48
Pd 0.0000 0.0000 0.3454  2 Si 2.42, 1 Pd 2.68
Pd 0.0000 0.0000 0.6546  2 Si 2.42, 1 Pd 2.68
Pd 0.0000 0.3454 0.0000  2 Si 2.42, 1 Pd 2.68
Pd 0.0000 0.3454 0.6546  2 Si 2.42, 1 Pd 2.68
Pd 0.0000 0.6546 0.0000  2 Si 2.42, 1 Pd 2.68
Pd 0.0000 0.6546 0.3454  2 Si 2.42, 1 Pd 2.68
Pd 0.1463 0.6179 0.6179  3 Si 2.48
Pd 0.3454 0.0000 0.0000  2 Si 2.42, 1 Pd 2.68
Pd 0.3454 0.0000 0.6546  2 Si 2.42, 1 Pd 2.68
Pd 0.3454 0.6546 0.0000  2 Si 2.42, 1 Pd 2.68
Pd 0.3821 0.3821 0.3821  3 Si 2.48
Pd 0.3821 0.3821 0.8537  3 Si 2.48
Pd 0.3821 0.8537 0.3821  3 Si 2.48
Pd 0.6179 0.1463 0.6179  3 Si 2.48
Pd 0.6179 0.6179 0.1463  3 Si 2.48
Pd 0.6179 0.6179 0.6179  3 Si 2.48
Pd 0.6546 0.0000 0.0000  2 Si 2.42, 1 Pd 2.68
Pd 0.6546 0.0000 0.3454  2 Si 2.42, 1 Pd 2.68
Pd 0.6546 0.3454 0.0000  2 Si 2.42, 1 Pd 2.68
Pd 0.8537 0.3821 0.3821  3 Si 2.48

Properties
E, eV/cell: -188.0
Space group: Fm-3m


No. 2
Compound: SiPd2W
Source: OQMD via LeMat-Bulk
Functional: PBE-GGA
Structure: optimized geometry

abc: 4.3627 4.3627 4.3627
angles: 60.00 60.00 60.00
Closest atoms and distances in Å follow each position.
Atoms (fractional coordinates):
Si 0.0000 0.0000 0.0000  4 Pd 2.67, 4 W 2.67
Pd 0.5000 0.5000 0.5000  4 Pd 2.67, 4 W 2.67
Pd 0.7500 0.7500 0.7500  4 Pd 2.67, 4 Si 2.67
W 0.2500 0.2500 0.2500  4 Pd 2.67, 4 Si 2.67

Properties
E, eV/cell: -28.9
Space group: F-43m


No. 3
Compound: SiPdW2
Source: OQMD via LeMat-Bulk
Functional: PBE-GGA
Structure: optimized geometry

abc: 4.4095 4.4095 4.4095
angles: 60.00 60.00 60.00
Closest atoms and distances in Å follow each position.
Atoms (fractional coordinates):
Si 0.0000 0.0000 0.0000  4 W 2.70, 4 Pd 2.70
Pd 0.2500 0.2500 0.2500  4 W 2.70, 4 Si 2.70
W 0.5000 0.5000 0.5000  4 W 2.70, 4 Pd 2.70
W 0.7500 0.7500 0.7500  4 Si 2.70, 4 W 2.70

Properties
E, eV/cell: -35.6
Space group: F-43m